[1]
Computed, not measured: a relaxed RbNa2PPd crystal at the PBE level of DFT.

Geometry as POSCAR:
```
RbNa2PPd
1.0
5.571 0.000 0.000
0.000 5.571 0.000
0.000 0.000 4.581
Rb Na P Pd
1 2 1 1
Cartesian
0.000 0.000 0.000
0.000 2.785 2.291
2.785 0.000 2.291
2.785 2.785 0.000
2.785 2.785 2.291
```

SG: P4/mmm
E in eV/atom: -3.05
ΔH_f (0 K) in eV/atom: -0.21
Offset from the most stable computed form in meV/atom: 28
Total magnetization in μB per atom: 0.01

***

[2]
Computed, not measured: a relaxed Na2P2PdRh crystal at the PBE level of DFT.

Geometry as POSCAR:
```
Na2P2PdRh
1.0
-3.014 6.367 2.914
3.014 -6.367 2.914
3.014 6.367 -2.914
Na P Pd Rh
4 4 2 2
Cartesian
1.463 2.238 0.000
1.463 -2.238 2.914
1.552 8.605 0.000
1.552 4.128 2.914
4.444 1.203 0.000
1.430 5.164 0.000
1.585 1.203 2.914
-1.430 5.164 2.914
0.000 0.000 1.457
0.000 0.000 4.371
3.014 0.000 1.457
0.000 6.367 1.457
```

SG: Ibam
E in eV/atom: -4.83
ΔH_f (0 K) in eV/atom: -0.49
Total magnetization in μB per atom: 0.00

***

[3]
Computed, not measured: a relaxed NaPPd2Rh crystal at the PBE level of DFT.

Geometry as POSCAR:
```
NaPPd2Rh
1.0
4.568 0.000 0.000
0.000 4.568 0.000
0.000 0.000 4.387
Na P Pd Rh
1 1 2 1
Cartesian
0.000 0.000 0.000
2.284 2.284 2.194
0.000 2.284 2.194
2.284 0.000 2.194
2.284 2.284 0.000
```

SG: P4/mmm
E in eV/atom: -5.17
ΔH_f (0 K) in eV/atom: -0.28
Total magnetization in μB per atom: 0.00